{
  "formula": "NaReB",
  "functional": "PBE-GGA",
  "state": "optimized geometry",
  "lattice": [[1.3796, -3.6097, -0.3166], [-1.9253, -2.6346, -2.0942], [1.4534, -1.2307, -3.3774]],
  "species": ["Na", "B", "Re"],
  "frac_coords": [[0.2500, 0.2500, 0.2500], [0.0000, 0.0000, 0.0000], [0.7500, 0.7500, 0.7500]]
}



{
  "formula": "InCuMoS3",
  "functional": "PBE-GGA",
  "state": "optimized geometry",
  "lattice": [[-0.2729, 7.0643, 0.5217], [-3.3783, 6.1976, -0.6549], [-3.0910, -0.7634, 8.7204]],
  "species": ["In", "In", "S", "S", "S", "S", "S", "S", "Mo", "Mo", "Cu", "Cu"],
  "frac_coords": [[0.2432, 0.2432, 0.2500], [0.7568, 0.7568, 0.7500], [0.5693, 0.5693, 0.2500], [0.1281, 0.1281, 0.9558], [0.4307, 0.4307, 0.7500], [0.8719, 0.8719, 0.4558], [0.1281, 0.1281, 0.5442], [0.8719, 0.8719, 0.0442], [0.5000, 0.5000, 0.0000], [0.5000, 0.5000, 0.5000], [0.0413, 0.0413, 0.7500], [0.9587, 0.9587, 0.2500]]
}



{
  "formula": "RbLuPb",
  "functional": "PBE-GGA",
  "state": "optimized geometry",
  "lattice": [[0.0000, 3.8931, 3.8931], [3.8931, 0.0000, 3.8931], [3.8931, 3.8931, 0.0000]],
  "species": ["Pb", "Lu", "Rb"],
  "frac_coords": [[0.7500, 0.7500, 0.7500], [0.2500, 0.2500, 0.2500], [0.0000, 0.0000, 0.0000]]
}



{
  "formula": "CsUCu",
  "functional": "PBE-GGA",
  "state": "optimized geometry",
  "lattice": [[0.0000, 3.4015, 3.4015], [3.4015, 0.0000, 3.4015], [3.4015, 3.4015, 0.0000]],
  "species": ["U", "Cu", "Cs"],
  "frac_coords": [[0.0000, 0.0000, 0.0000], [0.7500, 0.7500, 0.7500], [0.2500, 0.2500, 0.2500]]
}



{
  "formula": "LiCoBMo",
  "functional": "PBE-GGA",
  "state": "optimized geometry",
  "lattice": [[-0.0334, -3.5078, -1.6774], [-3.3366, -1.4853, -1.3341], [-0.5928, -0.3181, -3.8297]],
  "species": ["Co", "B", "Li", "Mo"],
  "frac_coords": [[0.7500, 0.7500, 0.7500], [0.0000, 0.0000, 0.0000], [0.2500, 0.2500, 0.2500], [0.5000, 0.5000, 0.5000]]
}



{
  "formula": "Tl2AgSbCl6",
  "functional": "PBE-GGA",
  "state": "optimized geometry",
  "lattice": [[-1.5698, 5.5183, 4.8216], [-0.4466, 5.0956, -5.4772], [-4.0543, -6.3003, -0.1835]],
  "species": ["Cl", "Cl", "Cl", "Cl", "Cl", "Cl", "Sb", "Tl", "Tl", "Ag"],
  "frac_coords": [[0.3134, 0.8171, 0.1305], [0.6866, 0.1829, 0.8695], [0.2456, 0.2456, 0.0000], [0.8171, 0.6866, 0.5037], [0.1829, 0.3134, 0.4963], [0.7544, 0.7544, 0.0000], [0.0000, 0.0000, 0.0000], [0.7500, 0.2500, 0.5000], [0.2500, 0.7500, 0.5000], [0.5000, 0.5000, 0.0000]]
}



| no. | ρ (Mg/m³) | raw total energy (eV/atom) |
| --- | --- | --- |
| 1 | 8.864 | -5.4809 |
| 2 | 5.615 | -5.2684 |
| 3 | 6.580 | -2.2472 |
| 4 | 9.166 | -1.3052 |
| 5 | 6.896 | -6.3048 |
| 6 | 4.858 | -3.1293 |